No. 1
## MgFeNiB (GGA-PBE)

Data for a relaxed MgFeNiB crystal.

Computed properties:
The size of the total moment comes out at 0.0 Bohr magnetons per cell. The value obtained for the density is 6.03 g/cm³. For the energy relative to the lowest polymorph listed for this composition, the calculation gives 0.0 meV/atom. As for the total energy: -5.22 eV per atom.

a b c (Å): 3.8766 3.8766 3.8766
angles (deg): 60.00 60.00 60.00
Fractional coordinates of all 4 atoms:
B 0.0000 0.0000 0.0000
Fe 0.7500 0.7500 0.7500
Mg 0.5000 0.5000 0.5000
Ni 0.2500 0.2500 0.2500


No. 2
## ZrBiPO (GGA-PBE)

Data for a relaxed ZrBiPO crystal.

Computed properties:
The size of the total moment comes out at 0.0 Bohr magnetons per cell. The value obtained for the density is 7.44 g/cm³. For the energy relative to the lowest polymorph listed for this composition, the calculation gives 272.6 meV/atom. As for the total energy: -6.62 eV per atom.

a b c (Å): 4.1557 4.1557 8.9752
angles (deg): 90.00 90.00 90.00
Fractional coordinates of all 8 atoms:
Bi 0.0000 0.0000 0.5000
Bi 0.5000 0.5000 0.5000
O 0.0000 0.0000 0.0000
O 0.5000 0.5000 0.0000
P 0.5000 0.0000 0.2309
P 0.0000 0.5000 0.7691
Zr 0.0000 0.5000 0.0907
Zr 0.5000 0.0000 0.9093


No. 3
## AgIrSO (GGA-PBE)

Data for a relaxed AgIrSO crystal.

Computed properties:
The size of the total moment comes out at 0.0 Bohr magnetons per cell. The value obtained for the density is 8.74 g/cm³. For the energy relative to the lowest polymorph listed for this composition, the calculation gives 156.8 meV/atom. As for the total energy: -5.27 eV per atom.

a b c (Å): 5.2887 5.0170 9.9762
angles (deg): 90.00 90.08 90.00
Fractional coordinates of all 16 atoms:
Ag 0.9986 0.3787 0.3288
Ag 0.3453 0.0799 0.4811
Ag 0.6547 0.5799 0.5189
Ag 0.0014 0.8787 0.6712
Ir 0.9292 0.8925 0.1247
Ir 0.5872 0.3013 0.1253
Ir 0.4128 0.8013 0.8747
Ir 0.0708 0.3925 0.8753
O 0.3465 0.5096 0.0073
O 0.8775 0.5165 0.0394
O 0.1225 0.0165 0.9606
O 0.6535 0.0096 0.9927
S 0.2771 0.0568 0.2344
S 0.6485 0.6646 0.2750
S 0.3515 0.1646 0.7250
S 0.7229 0.5568 0.7656


No. 4
## PuSiAs (GGA-PBE)

Data for a relaxed PuSiAs crystal.

Computed properties:
The size of the total moment comes out at 4.9 Bohr magnetons per cell. The value obtained for the density is 8.07 g/cm³. As for the total energy: -8.18 eV per atom.

a b c (Å): 4.6563 4.6563 4.6563
angles (deg): 60.00 60.00 60.00
Each line ends with the local moment (μB).
Fractional coordinates of all 3 atoms:
As 0.2500 0.2500 0.2500  -0.04
Pu 0.0000 0.0000 0.0000  4.93
Si 0.7500 0.7500 0.7500  -0.01